[1]
## MnAlHg2 (meta-GGA SCAN)

Data for a PBEsol-optimized structure of MnAlHg2.

a b c (Å): 3.1173 3.1173 7.4641
angles (deg): 90.00 90.00 90.00
Closest atoms and distances in Å follow each position.
Space group P4/mmm (No. 123)
Asymmetric unit:
Mn (0.0000, 0.0000, 0.0000) x1  8 Hg 2.85, 4 Mn 3.12
Al (0.0000, 0.0000, 0.5000) x1  8 Hg 2.93, 4 Al 3.12
Hg (0.5000, 0.5000, 0.2420) x2  4 Mn 2.85, 4 Al 2.93, 4 Hg 3.12


[2]
## MnAl2Hg (meta-GGA SCAN)

Data for a PBEsol-optimized structure of MnAl2Hg.

a b c (Å): 2.9149 2.9149 26.2868
angles (deg): 90.00 90.00 120.00
Closest atoms and distances in Å follow each position.
Space group R-3m (No. 166, hexagonal axes)
Asymmetric unit:
Mn (0.0000, 0.0000, 0.0000) x3  6 Al 2.55
Al (0.0000, 0.0000, 0.2604) x6  3 Mn 2.55
Hg (0.0000, 0.0000, 0.5000) x3  6 Hg 2.91, 6 Al 2.98


[3]
## MnAlHg2 (meta-GGA SCAN)

Data for a PBEsol-optimized structure of MnAlHg2.

a b c (Å): 2.9510 2.8519 8.6169
angles (deg): 90.00 95.95 90.00
Closest atoms and distances in Å follow each position.
Space group Pm (No. 6)
Asymmetric unit:
Mn (0.0000, 0.0000, 0.0000) x1  4 Al 2.57-2.58, 4 Hg 2.84-2.85, 2 Mn 2.85
Al (0.5565, 0.5000, 0.1814) x1  4 Mn 2.57-2.58, 2 Hg 2.83, 2 Al 2.85
Hg (0.4252, 0.5000, 0.7701) x1  4 Mn 2.84-2.85, 6 Hg 2.85-3.05
Hg (0.5342, 0.0000, 0.4637) x1  2 Al 2.83, 6 Hg 2.85-3.05


[4]
## MnAl2Hg (meta-GGA SCAN)

Data for a PBEsol-optimized structure of MnAl2Hg.

a b c (Å): 7.2759 7.2759 5.3976
angles (deg): 90.00 90.00 90.00
Closest atoms and distances in Å follow each position.
Space group I-42d (No. 122)
Asymmetric unit:
Mn (0.0000, 0.0000, 0.0000) x4  4 Al 2.61, 2 Hg 2.70
Al (0.2395, 0.2500, 0.1250) x8  2 Mn 2.61, 2 Al 2.70, 2 Hg 2.71
Hg (0.0000, 0.0000, 0.5000) x4  2 Mn 2.70, 4 Al 2.71


| no. | spin magnetization (μB/f.u.) | N(E_F) (states/eV/atom) | DFT formation energy (eV per atom) |
| --- | --- | --- | --- |
| 1 | 4.295 | 0.370 | 0.042 |
| 2 | 2.731 | 0.475 | -0.045 |
| 3 | 3.375 | 0.414 | -0.044 |
| 4 | 3.612 | 0.522 | 0.207 |